1.
First-principles (PBE-GGA) data for an optimized crystal structure of P2IrCl, as listed in Alexandria.

Lattice parameters (Å, degrees): 4.970 8.237 3.020 90.00 90.00 90.00
Space group Cmmm (No. 65)
Symmetry-distinct sites (fractional):
P 0.250 0.250 0.000 [4 per cell]
Ir 0.000 0.000 0.500 [2 per cell]
Cl 0.000 0.500 0.500 [2 per cell]

- Calculated volume: 15.45 A^3/atom
- ΔE to the lowest computed polymorph: 1055.7 meV/atom
- Formation energy without anion corrections: 0.772 eV/atom
- Total DFT energy (no corrections): -18.44 eV/f.u.

---

2.
First-principles (PBE-GGA) data for an optimized crystal structure of P2IrCl, as listed in Alexandria.

Lattice parameters (Å, degrees): 6.207 6.207 6.207 90.00 90.00 90.00
Space group F-43m (No. 216)
Symmetry-distinct sites (fractional):
P 0.000 0.000 0.000 [4 per cell]
P 0.250 0.250 0.250 [4 per cell]
Ir 0.250 0.250 0.750 [4 per cell]
Cl 0.000 0.000 0.500 [4 per cell]

- Calculated volume: 14.94 A^3/atom
- ΔE to the lowest computed polymorph: 1091.4 meV/atom
- Formation energy without anion corrections: 0.808 eV/atom
- Total DFT energy (no corrections): -18.30 eV/f.u.

---

3.
First-principles (PBE-GGA) data for an optimized crystal structure of PIr2Cl, as listed in Alexandria.

Lattice parameters (Å, degrees): 2.9751 2.9751 23.5913 90.00 90.00 120.00
Space group R-3m (No. 166, hexagonal axes)
Symmetry-distinct sites (fractional):
P 0.0000 0.0000 0.0000 [3 per cell]
Ir 0.0000 0.0000 0.2638 [6 per cell]
Cl 0.0000 0.0000 0.5000 [3 per cell]

- Calculated volume: 15.07 A^3/atom
- ΔE to the lowest computed polymorph: 128.0 meV/atom
- Formation energy without anion corrections: 0.081 eV/atom
- Total DFT energy (no corrections): -24.66 eV/f.u.

---

4.
First-principles (PBE-GGA) data for an optimized crystal structure of PIr2Cl, as listed in Alexandria.

Lattice parameters (Å, degrees): 3.643 3.524 6.849 90.00 92.89 90.00
Space group Pm (No. 6)
Symmetry-distinct sites (fractional):
P 0.000 0.000 0.000 [1 per cell]
Ir 0.257 0.000 0.697 [1 per cell]
Ir 0.777 0.500 0.822 [1 per cell]
Cl 0.340 0.500 0.453 [1 per cell]

- Calculated volume: 21.95 A^3/atom
- ΔE to the lowest computed polymorph: 236.1 meV/atom
- Formation energy without anion corrections: 0.189 eV/atom
- Total DFT energy (no corrections): -24.22 eV/f.u.

---

5.
First-principles (PBE-GGA) data for an optimized crystal structure of P2IrCl, as listed in Alexandria.

Lattice parameters (Å, degrees): 3.5054 3.5054 20.2160 90.00 90.00 120.00
Space group R-3m (No. 166, hexagonal axes)
Symmetry-distinct sites (fractional):
P 0.0000 0.0000 0.2304 [6 per cell]
Ir 0.0000 0.0000 0.5000 [3 per cell]
Cl 0.0000 0.0000 0.0000 [3 per cell]

- Calculated volume: 17.93 A^3/atom
- ΔE to the lowest computed polymorph: 254.2 meV/atom
- Formation energy without anion corrections: -0.029 eV/atom
- Total DFT energy (no corrections): -21.64 eV/f.u.

---

6.
First-principles (PBE-GGA) data for an optimized crystal structure of PIr2Cl, as listed in Alexandria.

Lattice parameters (Å, degrees): 6.540 3.770 6.825 90.00 108.69 90.00
Space group C2/m (No. 12)
Symmetry-distinct sites (fractional):
P 0.000 0.000 0.000 [2 per cell]
Ir 0.122 0.500 0.865 [4 per cell]
Cl 0.000 0.500 0.500 [2 per cell]

- Calculated volume: 19.93 A^3/atom
- ΔE to the lowest computed polymorph: 0.0 meV/atom
- Formation energy without anion corrections: -0.047 eV/atom
- Total DFT energy (no corrections): -25.17 eV/f.u.

---

7.
First-principles (PBE-GGA) data for an optimized crystal structure of PIr4Cl, as listed in Alexandria.

Lattice parameters (Å, degrees): 7.436 7.436 7.436 90.00 90.00 90.00
Space group F-43m (No. 216)
Symmetry-distinct sites (fractional):
P 0.000 0.000 0.000 [4 per cell]
Ir 0.126 0.126 0.374 [16 per cell]
Cl 0.250 0.250 0.750 [4 per cell]

- Calculated volume: 17.13 A^3/atom
- Formation energy without anion corrections: 1.178 eV/atom
- Total DFT energy (no corrections): -35.63 eV/f.u.

---

8.
First-principles (PBE-GGA) data for an optimized crystal structure of PIr2Cl, as listed in Alexandria.

Lattice parameters (Å, degrees): 2.9840 2.9840 28.9550 90.00 90.00 120.00
Space group R3m (No. 160, hexagonal axes)
Symmetry-distinct sites (fractional):
P 0.0000 0.0000 0.0000 [3 per cell]
Ir 0.0000 0.0000 0.2780 [3 per cell]
Ir 0.0000 0.0000 0.5342 [3 per cell]
Cl 0.0000 0.0000 0.8033 [3 per cell]

- Calculated volume: 18.61 A^3/atom
- ΔE to the lowest computed polymorph: 362.4 meV/atom
- Formation energy without anion corrections: 0.315 eV/atom
- Total DFT energy (no corrections): -23.72 eV/f.u.

---

9.
First-principles (PBE-GGA) data for an optimized crystal structure of PIr2Cl, as listed in Alexandria.

Lattice parameters (Å, degrees): 6.262 6.262 6.262 90.00 90.00 90.00
Space group F-43m (No. 216)
Symmetry-distinct sites (fractional):
P 0.000 0.000 0.000 [4 per cell]
Ir 0.000 0.000 0.500 [4 per cell]
Ir 0.250 0.250 0.250 [4 per cell]
Cl 0.250 0.250 0.750 [4 per cell]

- Calculated volume: 15.34 A^3/atom
- ΔE to the lowest computed polymorph: 971.3 meV/atom
- Formation energy without anion corrections: 0.924 eV/atom
- Total DFT energy (no corrections): -21.28 eV/f.u.

---

10.
First-principles (PBE-GGA) data for an optimized crystal structure of PIr2Cl, as listed in Alexandria.

Lattice parameters (Å, degrees): 2.876 5.727 8.035 90.00 90.00 90.00
Space group Immm (No. 71)
Symmetry-distinct sites (fractional):
P 0.000 0.000 0.000 [2 per cell]
Ir 0.000 0.500 0.281 [4 per cell]
Cl 0.000 0.000 0.500 [2 per cell]

- Calculated volume: 16.54 A^3/atom
- ΔE to the lowest computed polymorph: 457.2 meV/atom
- Formation energy without anion corrections: 0.410 eV/atom
- Total DFT energy (no corrections): -23.34 eV/f.u.

---

11.
First-principles (PBE-GGA) data for an optimized crystal structure of P2IrCl, as listed in Alexandria.

Lattice parameters (Å, degrees): 3.583 3.583 4.836 90.00 90.00 90.00
Space group P4/mmm (No. 123)
Symmetry-distinct sites (fractional):
P 0.000 0.500 0.000 [2 per cell]
Ir 0.000 0.000 0.500 [1 per cell]
Cl 0.500 0.500 0.500 [1 per cell]

- Calculated volume: 15.53 A^3/atom
- ΔE to the lowest computed polymorph: 1162.1 meV/atom
- Formation energy without anion corrections: 0.879 eV/atom
- Total DFT energy (no corrections): -18.01 eV/f.u.

---

12.
First-principles (PBE-GGA) data for an optimized crystal structure of PIrCl3, as listed in Alexandria.

Lattice parameters (Å, degrees): 4.820 4.820 4.820 90.00 90.00 90.00
Space group Pm-3m (No. 221)
Symmetry-distinct sites (fractional):
P 0.000 0.000 0.000 [1 per cell]
Ir 0.500 0.500 0.500 [1 per cell]
Cl 0.000 0.500 0.500 [3 per cell]

- Calculated volume: 22.39 A^3/atom
- ΔE to the lowest computed polymorph: 0.0 meV/atom
- Formation energy without anion corrections: 0.625 eV/atom
- Total DFT energy (no corrections): -16.68 eV/f.u.